[1]
DFT (GGA-PBEsol) results for a relaxed structure of MnCrFe2.

Results
E_tot = -9.37 eV per atom
Energy of formation = 0.47 eV per formula unit

Lattice parameters (Å, degrees): 2.3845 2.3845 7.9192 90.00 90.00 107.84
Fractional positions:
Mn (0.5000, 0.5000, 0.5000)
Fe (0.0000, 0.0000, 0.7497)
Fe (0.0000, 0.0000, 0.2503)
Cr (0.5000, 0.5000, 0.0000)

***

[2]
DFT (GGA-PBEsol) results for a relaxed structure of MnFeSi2.

Results
E_tot = -8.02 eV per atom
Raw formation energy = -0.469 eV/atom

Lattice parameters (Å, degrees): 2.6612 4.0234 4.4086 106.89 107.57 90.00
Fractional positions:
Si (0.0037, 0.0631, 0.0074)
Si (0.2449, 0.6855, 0.4899)
Mn (0.7495, 0.1842, 0.4991)
Fe (0.5018, 0.5672, 0.0036)

***

[3]
DFT (GGA-PBEsol) results for a relaxed structure of Sc4AgCl.

Results
E_tot = -4.94 eV per atom
Raw formation energy = 0.354 eV/atom

Lattice parameters (Å, degrees): 5.7826 5.7826 5.7826 60.00 60.00 60.00
Fractional positions:
Sc (0.3765, 0.8704, 0.3765)
Sc (0.3765, 0.3765, 0.3765)
Sc (0.3765, 0.3765, 0.8704)
Sc (0.8704, 0.3765, 0.3765)
Cl (0.0000, 0.0000, 0.0000)
Ag (0.7500, 0.7500, 0.7500)

***

[4]
DFT (GGA-PBEsol) results for a relaxed structure of CdAg2Rh.

Results
E_tot = -3.97 eV per atom
Energy of formation = 0.09 eV per formula unit

Lattice parameters (Å, degrees): 3.9350 3.9350 4.1850 90.00 90.00 90.00
Fractional positions:
Rh (0.0000, 0.0000, 0.5000)
Ag (0.5000, 0.0000, 0.0000)
Ag (0.0000, 0.5000, 0.0000)
Cd (0.5000, 0.5000, 0.5000)

***

[5]
DFT (GGA-PBEsol) results for a relaxed structure of MnCrFe2.

Results
E_tot = -9.37 eV per atom
Energy of formation = 0.43 eV per formula unit

Lattice parameters (Å, degrees): 2.3950 4.6464 4.6111 116.75 98.95 101.94
Fractional positions:
Fe (0.0000, 0.0000, 0.5000)
Fe (0.5000, 0.5000, 0.5000)
Cr (0.0000, 0.5000, 0.0000)
Mn (0.5000, 0.0000, 0.0000)

***

[6]
DFT (GGA-PBEsol) results for a relaxed structure of AgHg2.

Results
E_tot = -1.45 eV per atom
Energy of formation = 0.09 eV per formula unit

Lattice parameters (Å, degrees): 2.9984 2.9984 13.7240 96.27 96.27 90.00
Fractional positions:
Hg (0.4229, 0.4229, 0.8458)
Hg (0.5771, 0.5771, 0.1542)
Hg (0.6729, 0.1729, 0.3458)
Hg (0.8271, 0.3271, 0.6542)
Ag (0.0000, 0.0000, 0.0000)
Ag (0.2500, 0.7500, 0.5000)

***

no.,N(E_F) (states/eV/atom)
1,1.2648
2,0.8544
3,1.2914
4,0.6273
5,1.2862
6,0.3112